In9Pt13 (SCAN, single point on PBEsol structure); calculated total energy = -1223.335 eV/cell; SG = C2/m (12)
1.0
-1.070 5.677 -4.150
-6.588 -2.156 1.598
3.890 2.872 7.484
In Pt
9 13
Direct
0.500 0.000 0.500 In
0.295 0.539 0.834 In
0.705 0.461 0.166 In
0.822 0.058 0.880 In
0.178 0.942 0.120 In
0.247 0.484 0.308 In
0.175 0.938 0.692 In
0.753 0.516 0.692 In
0.825 0.062 0.308 In
0.000 0.500 0.500 Pt
0.000 0.500 0.000 Pt
0.500 0.000 0.000 Pt
0.250 0.250 0.000 Pt
0.750 0.750 0.000 Pt
0.743 0.748 0.491 Pt
0.257 0.252 0.509 Pt
0.544 0.277 0.821 Pt
0.456 0.723 0.179 Pt
0.458 0.718 0.658 Pt
0.060 0.800 0.342 Pt
0.542 0.282 0.342 Pt
0.940 0.200 0.658 Pt